The following is a PBE calculation of a geometry-optimized CrSbP2 structure, from Alexandria via LeMat-Bulk.

Output
ΔE_f (raw)	0.14	eV/atom
total moment	1.28	μB/f.u.

Cell lengths 7.6075, 3.1305, 5.9484 Å; angles 90.00, 93.74, 90.00 degrees
Closest atoms and distances in Å follow each position.
Space group C2/m (No. 12)
Inequivalent atoms, fractional coordinates:
Cr 0.0000 0.0000 0.0000  6 P 2.39-2.40
Sb 0.0000 0.5000 0.5000  2 P 2.73
P 0.2143 0.5000 0.1484  3 Cr 2.39-2.40, 2 P 2.45


The following is a PBE calculation of a geometry-optimized Cr2SbP2 structure, from Alexandria via LeMat-Bulk.

Output
ΔE_f (raw)	-0.06	eV/atom
total moment	0.86	μB/f.u.

Cell lengths 3.4673, 3.4673, 12.0372 Å; angles 90.00, 90.00, 90.00 degrees
Closest atoms and distances in Å follow each position.
Space group I4/mmm (No. 139)
Inequivalent atoms, fractional coordinates:
Cr 0.0000 0.0000 0.1204  4 P 2.33
Sb 0.0000 0.0000 0.5000  8 Cr 2.85
P 0.0000 0.5000 0.2500  4 Cr 2.33, 4 P 2.45